Entry from Alexandria: a relaxed K3Mn2ZnF9 crystal (PBE with a Hubbard U).

Total DFT energy (no corrections), eV/cell: -76.92

Geometry as POSCAR:
```
K3Mn2ZnF9
1.0
5.9603 0.0000 0.0000
-2.9802 5.1618 0.0000
0.0000 0.0000 7.3016
K Mn Zn F
3 2 1 9
Direct
0.3333 0.6667 0.6650
0.0000 0.0000 0.0000
0.6667 0.3333 0.3350
0.3333 0.6667 0.1705
0.6667 0.3333 0.8295
0.0000 0.0000 0.5000
0.8361 0.1639 0.6625
0.8361 0.6723 0.6625
0.3277 0.1639 0.6625
0.6723 0.8361 0.3375
0.1639 0.3277 0.3375
0.1639 0.8361 0.3375
0.5000 0.0000 0.0000
0.0000 0.5000 0.0000
0.5000 0.5000 0.0000
```